Ca2BIrO: relaxed, PBE-GGA.

Cell lengths 5.103, 5.103, 3.850 Å; angles 90.00, 90.00, 90.00 degrees
Space group P4/mmm (No. 123)
Asymmetric unit:
1 Ca 0.000 0.500 0.000 [2 per cell]
2 B 0.000 0.000 0.000 [1 per cell]
3 Ir 0.000 0.000 0.500 [1 per cell]
4 O 0.500 0.500 0.500 [1 per cell]

Results
E_form (uncorrected) = -0.380 eV per atom
Size of the total moment = 0.327 μB per formula unit
ρ = 5.0 Mg/m³